Computed, not measured: a geometry-optimized KNiAg3 structure at the PBE-GGA level of DFT.

## Properties
- spin magnetization (μB/cell) = 0.0
- density of states at the Fermi level (states/eV/f.u.) = 2.7
- energy relative to the elements (eV/atom) = 0.397

```
data_KNiAg3
_space_group_name_H-M_alt 'P m -3 m'
_space_group_IT_number 221
_space_group_name_Hall '-P 4 2 3'
_cell_length_a 4.993
_cell_length_b 4.993
_cell_length_c 4.993
_cell_angle_alpha 90.00
_cell_angle_beta 90.00
_cell_angle_gamma 90.00
loop_
_atom_site_label
_atom_site_fract_x
_atom_site_fract_y
_atom_site_fract_z
K1 0.000 0.000 0.000
Ni1 0.500 0.500 0.500
Ag1 0.000 0.500 0.500
```